(1)
Entry from the Alexandria database: a relaxed structure of RbMgB2Se (GGA-PBE).

Summary:
SG	P4/mmm (123)
crystal system	tetragonal
ΔE_f (raw)	1.50	eV/atom

a = 4.7012 Å, b = 4.7012 Å, c = 5.1793 Å
α = 90.00°, β = 90.00°, γ = 90.00°
Last column: nearest neighbours and their distance in Å.
Positions (direct):
Rb: 0.0000 0.0000 0.0000  4 Mg 3.32, 8 B 3.50
Mg: 0.5000 0.5000 0.0000  2 Se 2.59
B: 0.0000 0.5000 0.5000  2 Se 2.35
B: 0.5000 0.0000 0.5000  2 Se 2.35
Se: 0.5000 0.5000 0.5000  4 B 2.35, 2 Mg 2.59

---

(2)
Entry from the Alexandria database: a relaxed structure of Nd2CdAs (GGA-PBE).

Summary:
SG	R-3m (166)
crystal system	trigonal
ΔE to the lowest computed polymorph	0.0000	eV per atom
E_form	-0.8141	eV per atom

a = 8.1791 Å, b = 8.1791 Å, c = 8.1791 Å
α = 29.88°, β = 29.88°, γ = 29.88°
Last column: nearest neighbours and their distance in Å.
Positions (direct):
Nd: 0.2377 0.2377 0.2377  3 As 2.95
Nd: 0.7623 0.7623 0.7623  3 As 2.95
Cd: 0.0000 0.0000 0.0000  6 Nd 3.31
As: 0.5000 0.5000 0.5000  6 Nd 2.95

---

(3)
Entry from the Alexandria database: a relaxed structure of Sr2ScSn3Rh4 (GGA-PBE).

Summary:
SG	P-4m2 (115)
crystal system	tetragonal
E_form	-0.6992	eV per atom

a = 4.4593 Å, b = 4.4593 Å, c = 11.3252 Å
α = 90.00°, β = 90.00°, γ = 90.00°
Last column: nearest neighbours and their distance in Å.
Positions (direct):
Sr: 0.0000 0.5000 0.2398  6 Sn 3.41-3.70, 8 Rh 3.45-3.51, 2 Sc 3.70
Sr: 0.5000 0.0000 0.7602  6 Sn 3.41-3.70, 8 Rh 3.45-3.51, 2 Sc 3.70
Sc: 0.0000 0.0000 0.5000  4 Rh 2.71
Sn: 0.0000 0.5000 0.8747  5 Rh 2.64-2.71
Sn: 0.5000 0.0000 0.1253  5 Rh 2.64-2.71
Sn: 0.5000 0.5000 0.5000  4 Rh 2.71
Rh: 0.0000 0.0000 0.0000  4 Sn 2.64
Rh: 0.0000 0.5000 0.6358  3 Sn 2.71, 2 Sc 2.71
Rh: 0.5000 0.0000 0.3642  3 Sn 2.71, 2 Sc 2.71
Rh: 0.5000 0.5000 0.0000  4 Sn 2.64

---

(4)
Entry from the Alexandria database: a relaxed structure of CoRe2PtS (GGA-PBE).

Summary:
SG	P4/mmm (123)
crystal system	tetragonal
ΔE_f (raw)	1.50	eV/atom

a = 4.5785 Å, b = 4.5785 Å, c = 3.8967 Å
α = 90.00°, β = 90.00°, γ = 90.00°
Last column: nearest neighbours and their distance in Å.
Positions (direct):
Co: 0.0000 0.0000 0.0000  2 S 1.95
Re: 0.0000 0.5000 0.0000  2 Co 2.29
Re: 0.5000 0.0000 0.0000  2 Co 2.29
Pt: 0.5000 0.5000 0.5000  8 Re 3.01, 4 S 3.24
S: 0.0000 0.0000 0.5000  2 Co 1.95

---

(5)
Entry from the Alexandria database: a relaxed structure of MnReRhPb2 (GGA-PBE).

Summary:
SG	P4/mmm (123)
crystal system	tetragonal
E_form	1.2551	eV per atom

a = 5.2471 Å, b = 5.2471 Å, c = 4.6752 Å
α = 90.00°, β = 90.00°, γ = 90.00°
Last column: nearest neighbours and their distance in Å.
Positions (direct):
Mn: 0.0000 0.0000 0.0000  2 Re 2.34
Re: 0.0000 0.0000 0.5000  2 Mn 2.34
Rh: 0.5000 0.5000 0.0000  8 Pb 3.51, 4 Mn 3.71
Pb: 0.0000 0.5000 0.5000  2 Re 2.62
Pb: 0.5000 0.0000 0.5000  2 Re 2.62

---

no.,E (eV per atom)
1,-2.379
2,-4.589
3,-5.810
4,-6.935
5,-6.022